# SmYI6 (PBE, relaxed)
# polymorph energy (0 for the lowest one) = 23.5 meV per atom
# ρ = 4.68 g cm⁻³
# ΔE_f (raw) = -1.340 eV/atom
# D(E_F) = 0.000 states/eV per atom
# magnetization = 0.00 μB per atom
data_SmYI6
_chemical_formula_sum 'Sm3 Y3 I18'
_symmetry_space_group_name_H-M 'R -3'
_symmetry_Int_Tables_number 148
_symmetry_space_group_name_Hall '-R 3'
_cell_length_a 7.6828
_cell_length_b 7.6828
_cell_length_c 20.8410
_cell_angle_alpha 90.00
_cell_angle_beta 90.00
_cell_angle_gamma 120.00
loop_
_atom_site_label
_atom_site_fract_x
_atom_site_fract_y
_atom_site_fract_z
_atom_site_occupancy
Sm1 0.0000 0.0000 0.0000 1
Y1 0.0000 0.0000 0.5000 1
I1 0.0040 0.6628 0.2493 1

# SmYI (PBE, relaxed)
# polymorph energy (0 for the lowest one) = 77.3 meV per atom
# ρ = 6.31 g cm⁻³
# ΔE_f (raw) = -0.463 eV/atom
# D(E_F) = 1.008 states/eV per atom
# magnetization = 0.00 μB per atom
data_SmYI
_chemical_formula_sum 'Sm4 Y4 I4'
_symmetry_space_group_name_H-M 'P 1 21/c 1'
_symmetry_Int_Tables_number 14
_symmetry_space_group_name_Hall '-P 2ybc'
_cell_length_a 8.7327
_cell_length_b 6.2125
_cell_length_c 7.1731
_cell_angle_alpha 90.00
_cell_angle_beta 97.92
_cell_angle_gamma 90.00
loop_
_atom_site_label
_atom_site_fract_x
_atom_site_fract_y
_atom_site_fract_z
_atom_site_occupancy
Sm1 0.2171 0.1720 0.4939 1
Y1 0.4316 0.6724 0.6851 1
I1 0.1209 0.6638 0.3446 1

# SmZnI (PBE, relaxed)
# ρ = 6.27 g cm⁻³
# ΔE_f (raw) = -0.468 eV/atom
# D(E_F) = 0.556 states/eV per atom
# magnetization = 0.00 μB per atom
data_SmZnI
_chemical_formula_sum 'Sm4 Zn4 I4'
_symmetry_space_group_name_H-M 'C 1 2/m 1'
_symmetry_Int_Tables_number 12
_symmetry_space_group_name_Hall '-C 2y'
_cell_length_a 13.8706
_cell_length_b 3.8212
_cell_length_c 7.0750
_cell_angle_alpha 90.00
_cell_angle_beta 104.49
_cell_angle_gamma 90.00
loop_
_atom_site_label
_atom_site_fract_x
_atom_site_fract_y
_atom_site_fract_z
_atom_site_occupancy
Sm1 0.1420 0.0000 0.0340 1
Zn1 0.2359 0.0000 0.6351 1
I1 0.0195 0.5000 0.2632 1

# SmZnI (PBE, relaxed)
# ρ = 5.80 g cm⁻³
# ΔE_f (raw) = -0.834 eV/atom
# D(E_F) = 0.797 states/eV per atom
# magnetization = 0.00 μB per atom
data_SmZnI
_chemical_formula_sum 'Sm6 Zn6 I6'
_symmetry_space_group_name_H-M 'R -3 m'
_symmetry_Int_Tables_number 166
_symmetry_space_group_name_Hall '-R 3 2"'
_cell_length_a 4.3132
_cell_length_b 4.3132
_cell_length_c 36.5077
_cell_angle_alpha 90.00
_cell_angle_beta 90.00
_cell_angle_gamma 120.00
loop_
_atom_site_label
_atom_site_fract_x
_atom_site_fract_y
_atom_site_fract_z
_atom_site_occupancy
Sm1 0.0000 0.0000 0.0536 1
Zn1 0.0000 0.0000 0.3351 1
I1 0.0000 0.0000 0.2232 1